The following is a DFT calculation (PBE) of crystalline CeCdAg6 at its relaxed geometry.

Calculated values
Magnetic moment ... 0.93 Bohr magnetons per cell
Electronic total energy ... -23.6 eV for the cell shown
DOS(E_F) ... 1.189 states/eV per atom
Formation energy from the elements ... 38.5 meV per atom

a b c (Å): 5.4867 5.4867 5.4867
angles (deg): 90.00 90.00 90.00
Last column: nearest neighbours and their distance in Å.
Sites, in units of the cell vectors:
Ag 0.5000 0.7459 0.0000  2 Ag 2.70-2.79
Ag 0.0000 0.5000 0.7459  2 Ag 2.70-2.79
Ag 0.5000 0.2541 0.0000  2 Ag 2.70-2.79
Ag 0.0000 0.5000 0.2541  2 Ag 2.70-2.79
Ag 0.7459 0.0000 0.5000  2 Ag 2.70-2.79
Ag 0.2541 0.0000 0.5000  2 Ag 2.70-2.79
Cd 0.5000 0.5000 0.5000  12 Ag 3.06
Ce 0.0000 0.0000 0.0000  12 Ag 3.08